one:
Material: BaLuRe
Method: DFT, PBE
State: optimized geometry

Computed properties:
- SG = F-43m

The structure in POSCAR format:
```
BaLuRe
1.0
0.000 3.458 3.458
3.458 0.000 3.458
3.458 3.458 0.000
Ba Lu Re
1 1 1
Direct
0.000 0.000 0.000 Ba
0.750 0.750 0.750 Lu
0.250 0.250 0.250 Re
```


two:
Material: BaLuRe
Method: DFT, PBE
State: optimized geometry

Computed properties:
- SG = F-43m

The structure in POSCAR format:
```
BaLuRe
1.0
0.000 3.504 3.504
3.504 0.000 3.504
3.504 3.504 0.000
Ba Lu Re
1 1 1
Direct
0.000 0.000 0.000 Ba
0.500 0.500 0.500 Lu
0.250 0.250 0.250 Re
```


Of them, two has the highest stability.


one:
Material: BaLuSc
Method: DFT, PBE
State: optimized geometry

Computed properties:
- SG = F-43m

The structure in POSCAR format:
```
BaLuSc
1.0
0.000 3.934 3.934
3.934 0.000 3.934
3.934 3.934 0.000
Ba Lu Sc
1 1 1
Direct
0.000 0.000 0.000 Ba
0.500 0.500 0.500 Lu
0.250 0.250 0.250 Sc
```


two:
Material: BaLuSc
Method: DFT, PBE
State: optimized geometry

Computed properties:
- SG = F-43m

The structure in POSCAR format:
```
BaLuSc
1.0
0.000 3.813 3.813
3.813 0.000 3.813
3.813 3.813 0.000
Ba Lu Sc
1 1 1
Direct
0.000 0.000 0.000 Ba
0.750 0.750 0.750 Lu
0.250 0.250 0.250 Sc
```


Of them, one has the highest stability.


one:
Material: BaLuTc
Method: DFT, PBE
State: optimized geometry

Computed properties:
- SG = F-43m

The structure in POSCAR format:
```
BaLuTc
1.0
0.000 3.507 3.507
3.507 0.000 3.507
3.507 3.507 0.000
Ba Lu Tc
1 1 1
Direct
0.000 0.000 0.000 Ba
0.500 0.500 0.500 Lu
0.250 0.250 0.250 Tc
```


two:
Material: BaLuTc
Method: DFT, PBE
State: optimized geometry

Computed properties:
- SG = F-43m

The structure in POSCAR format:
```
BaLuTc
1.0
0.000 3.507 3.507
3.507 0.000 3.507
3.507 3.507 0.000
Ba Lu Tc
1 1 1
Direct
0.000 0.000 0.000 Ba
0.750 0.750 0.750 Lu
0.250 0.250 0.250 Tc
```


Of them, one has the highest stability.


one:
Material: BaMgMoOs
Method: DFT, PBE
State: optimized geometry

Computed properties:
- SG = F-43m

The structure in POSCAR format:
```
BaMgMoOs
1.0
0.000 3.500 3.500
3.500 0.000 3.500
3.500 3.500 0.000
Ba Mg Mo Os
1 1 1 1
Direct
0.000 0.000 0.000 Ba
0.750 0.750 0.750 Mg
0.500 0.500 0.500 Mo
0.250 0.250 0.250 Os
```


two:
Material: BaMgMoOs
Method: DFT, PBE
State: optimized geometry

Computed properties:
- SG = F-43m

The structure in POSCAR format:
```
BaMgMoOs
1.0
0.000 3.433 3.433
3.433 0.000 3.433
3.433 3.433 0.000
Ba Mg Mo Os
1 1 1 1
Direct
0.000 0.000 0.000 Ba
0.250 0.250 0.250 Mg
0.750 0.750 0.750 Mo
0.500 0.500 0.500 Os
```


three:
Material: BaMgMoOs
Method: DFT, PBE
State: optimized geometry

Computed properties:
- SG = F-43m

The structure in POSCAR format:
```
BaMgMoOs
1.0
0.000 3.466 3.466
3.466 0.000 3.466
3.466 3.466 0.000
Ba Mg Mo Os
1 1 1 1
Direct
0.000 0.000 0.000 Ba
0.500 0.500 0.500 Mg
0.250 0.250 0.250 Mo
0.750 0.750 0.750 Os
```


Of them, two has the highest stability.


one:
Material: Ba2MgMoS6
Method: DFT, PBE
State: optimized geometry

Computed properties:
- SG = Fm-3m

The structure in POSCAR format:
```
Ba2MgMoS6
1.0
0.000 4.889 4.889
4.889 0.000 4.889
4.889 4.889 0.000
Ba Mg Mo S
2 1 1 6
Direct
0.250 0.250 0.250 Ba
0.750 0.750 0.750 Ba
0.000 0.000 0.000 Mg
0.500 0.500 0.500 Mo
0.255 0.255 0.745 S
0.255 0.745 0.255 S
0.255 0.745 0.745 S
0.745 0.255 0.255 S
0.745 0.255 0.745 S
0.745 0.745 0.255 S
```


two:
Material: Ba2MgMoS6
Method: DFT, PBE
State: optimized geometry

Computed properties:
- SG = C2/c

The structure in POSCAR format:
```
Ba2MgMoS6
1.0
7.376 -5.084 0.000
7.376 5.084 0.000
-6.843 0.000 7.849
Ba Mg Mo S
4 2 2 12
Direct
0.072 0.401 0.240 Ba
0.401 0.072 0.740 Ba
0.599 0.928 0.260 Ba
0.928 0.599 0.760 Ba
0.466 0.534 0.750 Mg
0.534 0.466 0.250 Mg
0.208 0.792 0.250 Mo
0.792 0.208 0.750 Mo
0.075 0.258 0.868 S
0.147 0.608 0.622 S
0.258 0.075 0.368 S
0.336 0.623 0.066 S
0.377 0.664 0.434 S
0.392 0.853 0.878 S
0.608 0.147 0.122 S
0.623 0.336 0.566 S
0.664 0.377 0.934 S
0.742 0.925 0.632 S
0.853 0.392 0.378 S
0.925 0.742 0.132 S
```


Of them, one has the highest stability.


one:
Material: BaMgZrNi
Method: DFT, PBE
State: optimized geometry

Computed properties:
- SG = F-43m

The structure in POSCAR format:
```
BaMgZrNi
1.0
0.000 3.685 3.685
3.685 0.000 3.685
3.685 3.685 0.000
Ba Mg Zr Ni
1 1 1 1
Direct
0.000 0.000 0.000 Ba
0.750 0.750 0.750 Mg
0.500 0.500 0.500 Zr
0.250 0.250 0.250 Ni
```


two:
Material: BaMgZrNi
Method: DFT, PBE
State: optimized geometry

Computed properties:
- SG = F-43m

The structure in POSCAR format:
```
BaMgZrNi
1.0
0.000 3.564 3.564
3.564 0.000 3.564
3.564 3.564 0.000
Ba Mg Zr Ni
1 1 1 1
Direct
0.000 0.000 0.000 Ba
0.250 0.250 0.250 Mg
0.750 0.750 0.750 Zr
0.500 0.500 0.500 Ni
```


three:
Material: BaMgZrNi
Method: DFT, PBE
State: optimized geometry

Computed properties:
- SG = F-43m

The structure in POSCAR format:
```
BaMgZrNi
1.0
0.000 3.593 3.593
3.593 0.000 3.593
3.593 3.593 0.000
Ba Mg Zr Ni
1 1 1 1
Direct
0.000 0.000 0.000 Ba
0.500 0.500 0.500 Mg
0.250 0.250 0.250 Zr
0.750 0.750 0.750 Ni
```


Of them, one has the highest stability.


one:
Material: BaMgTeOs
Method: DFT, PBE
State: optimized geometry

Computed properties:
- SG = F-43m

The structure in POSCAR format:
```
BaMgTeOs
1.0
0.000 3.778 3.778
3.778 0.000 3.778
3.778 3.778 0.000
Ba Mg Te Os
1 1 1 1
Direct
0.000 0.000 0.000 Ba
0.500 0.500 0.500 Mg
0.750 0.750 0.750 Te
0.250 0.250 0.250 Os
```


two:
Material: BaMgTeOs
Method: DFT, PBE
State: optimized geometry

Computed properties:
- SG = F-43m

The structure in POSCAR format:
```
BaMgTeOs
1.0
0.000 3.601 3.601
3.601 0.000 3.601
3.601 3.601 0.000
Ba Mg Te Os
1 1 1 1
Direct
0.000 0.000 0.000 Ba
0.250 0.250 0.250 Mg
0.500 0.500 0.500 Te
0.750 0.750 0.750 Os
```


Of them, one has the highest stability.


one:
Material: BaMgOsW
Method: DFT, PBE
State: optimized geometry

Computed properties:
- SG = F-43m

The structure in POSCAR format:
```
BaMgOsW
1.0
0.000 3.430 3.430
3.430 0.000 3.430
3.430 3.430 0.000
Ba Mg Os W
1 1 1 1
Direct
0.000 0.000 0.000 Ba
0.750 0.750 0.750 Mg
0.500 0.500 0.500 Os
0.250 0.250 0.250 W
```


two:
Material: BaMgOsW
Method: DFT, PBE
State: optimized geometry

Computed properties:
- SG = F-43m

The structure in POSCAR format:
```
BaMgOsW
1.0
0.000 3.485 3.485
3.485 0.000 3.485
3.485 3.485 0.000
Ba Mg Os W
1 1 1 1
Direct
0.000 0.000 0.000 Ba
0.250 0.250 0.250 Mg
0.750 0.750 0.750 Os
0.500 0.500 0.500 W
```


three:
Material: BaMgOsW
Method: DFT, PBE
State: optimized geometry

Computed properties:
- SG = F-43m

The structure in POSCAR format:
```
BaMgOsW
1.0
0.000 3.428 3.428
3.428 0.000 3.428
3.428 3.428 0.000
Ba Mg Os W
1 1 1 1
Direct
0.000 0.000 0.000 Ba
0.500 0.500 0.500 Mg
0.250 0.250 0.250 Os
0.750 0.750 0.750 W
```


Of them, one has the highest stability.